(1)
## YErGaRh (PBE)

Data for YErGaRh after structural relaxation.

```
data_YErGaRh
_chemical_formula_sum 'Y4 Er4 Ga4 Rh4'
_cell_length_a 6.996
_cell_length_b 6.996
_cell_length_c 6.996
_cell_angle_alpha 90.00
_cell_angle_beta 90.00
_cell_angle_gamma 90.00
_symmetry_space_group_name_H-M 'F -4 3 m'
_symmetry_Int_Tables_number 216
_symmetry_space_group_name_Hall 'F -4 2 3'
loop_
_atom_site_label
_atom_site_type_symbol
_atom_site_fract_x
_atom_site_fract_y
_atom_site_fract_z
Y1 Y 0.000 0.000 0.000
Er1 Er 0.000 0.000 0.500
Ga1 Ga 0.250 0.250 0.250
Rh1 Rh 0.250 0.250 0.750
```

Computed properties:
Magnetization, μB per formula unit: 0.0
Energy of formation, eV per atom: -0.70
Crystal system: cubic
Raw total energy, eV per cell: -96.80
ΔE to the lowest computed polymorph, meV per atom: 53

(2)
## YErGaRh (PBE)

Data for YErGaRh after structural relaxation.

```
data_YErGaRh
_chemical_formula_sum 'Y2 Er2 Ga2 Rh2'
_cell_length_a 4.293
_cell_length_b 3.895
_cell_length_c 10.680
_cell_angle_alpha 90.00
_cell_angle_beta 90.00
_cell_angle_gamma 90.00
_symmetry_space_group_name_H-M 'A m m 2'
_symmetry_Int_Tables_number 38
loop_
_symmetry_equiv_pos_as_xyz
'x,y,z'
'-x,-y,z'
'-x,y,z'
'x,-y,z'
'x,y+1/2,z+1/2'
'-x,-y+1/2,z+1/2'
'-x,y+1/2,z+1/2'
'x,-y+1/2,z+1/2'
loop_
_atom_site_label
_atom_site_type_symbol
_atom_site_fract_x
_atom_site_fract_y
_atom_site_fract_z
Y1 Y 0.000 0.000 0.000
Er1 Er 0.500 0.000 0.283
Ga1 Ga 0.500 0.000 0.572
Rh1 Rh 0.000 0.000 0.719
```

Computed properties:
Magnetization, μB per formula unit: 0.0
Energy of formation, eV per atom: -0.75
Crystal system: orthorhombic
Raw total energy, eV per cell: -48.83
ΔE to the lowest computed polymorph, meV per atom: 0

(3)
## ErZnGaRh (PBE)

Data for ErZnGaRh after structural relaxation.

```
data_ErZnGaRh
_chemical_formula_sum 'Er4 Zn4 Ga4 Rh4'
_cell_length_a 6.480
_cell_length_b 6.480
_cell_length_c 6.480
_cell_angle_alpha 90.00
_cell_angle_beta 90.00
_cell_angle_gamma 90.00
_symmetry_space_group_name_H-M 'F -4 3 m'
_symmetry_Int_Tables_number 216
_symmetry_space_group_name_Hall 'F -4 2 3'
loop_
_atom_site_label
_atom_site_type_symbol
_atom_site_fract_x
_atom_site_fract_y
_atom_site_fract_z
Er1 Er 0.000 0.000 0.000
Zn1 Zn 0.250 0.250 0.250
Ga1 Ga 0.250 0.250 0.750
Rh1 Rh 0.000 0.000 0.500
```

Computed properties:
Magnetization, μB per formula unit: 0.0
Energy of formation, eV per atom: -0.55
Crystal system: cubic
Raw total energy, eV per cell: -73.64

(4)
## Er2Zn2GaRh5 (PBE)

Data for Er2Zn2GaRh5 after structural relaxation.

```
data_Er2Zn2GaRh5
_chemical_formula_sum 'Er4 Zn4 Ga2 Rh10'
_cell_length_a 9.630
_cell_length_b 9.630
_cell_length_c 3.552
_cell_angle_alpha 90.00
_cell_angle_beta 90.00
_cell_angle_gamma 90.00
_symmetry_space_group_name_H-M 'P 4/m b m'
_symmetry_Int_Tables_number 127
_symmetry_space_group_name_Hall '-P 4 2ab'
loop_
_atom_site_label
_atom_site_type_symbol
_atom_site_fract_x
_atom_site_fract_y
_atom_site_fract_z
Er1 Er 0.172 0.328 0.000
Zn1 Zn 0.127 0.627 0.000
Ga1 Ga 0.000 0.000 0.000
Rh1 Rh 0.000 0.500 0.500
Rh2 Rh 0.067 0.802 0.500
```

Computed properties:
Magnetization, μB per formula unit: 0.0
Energy of formation, eV per atom: -0.65
Crystal system: tetragonal
Raw total energy, eV per cell: -115.84

(5)
## Er4GaRu2 (PBE)

Data for Er4GaRu2 after structural relaxation.

```
data_Er4GaRu2
_chemical_formula_sum 'Er16 Ga4 Ru8'
_cell_length_a 10.011
_cell_length_b 8.585
_cell_length_c 9.031
_cell_angle_alpha 90.00
_cell_angle_beta 123.29
_cell_angle_gamma 90.00
_symmetry_space_group_name_H-M 'C 1 2 1'
_symmetry_Int_Tables_number 5
loop_
_symmetry_equiv_pos_as_xyz
'x,y,z'
'-x,y,-z'
'x+1/2,y+1/2,z'
'-x+1/2,y+1/2,-z'
loop_
_atom_site_label
_atom_site_type_symbol
_atom_site_fract_x
_atom_site_fract_y
_atom_site_fract_z
Er1 Er 0.070 0.000 0.360
Er2 Er 0.087 0.613 0.251
Er3 Er 0.149 0.352 0.733
Er4 Er 0.215 0.241 0.189
Ga1 Ga 0.244 0.039 0.947
Ru1 Ru 0.000 0.621 0.500
Ru2 Ru 0.000 0.975 0.000
Ru3 Ru 0.185 0.310 0.458
```

Computed properties:
Magnetization, μB per formula unit: 0.0
Energy of formation, eV per atom: -0.32
Crystal system: monoclinic
Raw total energy, eV per cell: -168.38
ΔE to the lowest computed polymorph, meV per atom: 84

(6)
## Er2Ga2Ru (PBE)

Data for Er2Ga2Ru after structural relaxation.

```
data_Er2Ga2Ru
_chemical_formula_sum 'Er8 Ga8 Ru4'
_cell_length_a 10.832
_cell_length_b 4.130
_cell_length_c 10.457
_cell_angle_alpha 90.00
_cell_angle_beta 116.82
_cell_angle_gamma 90.00
_symmetry_space_group_name_H-M 'C 1 2/m 1'
_symmetry_Int_Tables_number 12
loop_
_symmetry_equiv_pos_as_xyz
'x,y,z'
'-x,-y,-z'
'-x,y,-z'
'x,-y,z'
'x+1/2,y+1/2,z'
'-x+1/2,-y+1/2,-z'
'-x+1/2,y+1/2,-z'
'x+1/2,-y+1/2,z'
loop_
_atom_site_label
_atom_site_type_symbol
_atom_site_fract_x
_atom_site_fract_y
_atom_site_fract_z
Er1 Er 0.008 0.000 0.330
Er2 Er 0.192 0.000 0.120
Ga1 Ga 0.019 0.500 0.886
Ga2 Ga 0.143 0.500 0.559
Ru1 Ru 0.217 0.500 0.354
```

Computed properties:
Magnetization, μB per formula unit: 0.0
Energy of formation, eV per atom: -0.60
Crystal system: monoclinic
Raw total energy, eV per cell: -109.76
ΔE to the lowest computed polymorph, meV per atom: 0

(7)
## Er3Ga2Ru (PBE)

Data for Er3Ga2Ru after structural relaxation.

```
data_Er3Ga2Ru
_chemical_formula_sum 'Er12 Ga8 Ru4'
_cell_length_a 11.794
_cell_length_b 4.267
_cell_length_c 10.933
_cell_angle_alpha 90.00
_cell_angle_beta 90.00
_cell_angle_gamma 90.00
_symmetry_space_group_name_H-M 'P n m a'
_symmetry_Int_Tables_number 62
loop_
_symmetry_equiv_pos_as_xyz
'x,y,z'
'-x,-y,-z'
'-x+1/2,-y,z+1/2'
'x+1/2,y,-z+1/2'
'x+1/2,-y+1/2,-z+1/2'
'-x+1/2,y+1/2,z+1/2'
'-x,y+1/2,-z'
'x,-y+1/2,z'
loop_
_atom_site_label
_atom_site_type_symbol
_atom_site_fract_x
_atom_site_fract_y
_atom_site_fract_z
Er1 Er 0.052 0.250 0.119
Er2 Er 0.119 0.750 0.556
Er3 Er 0.233 0.250 0.796
Ga1 Ga 0.008 0.750 0.303
Ga2 Ga 0.195 0.750 0.998
Ru1 Ru 0.119 0.250 0.371
```

Computed properties:
Magnetization, μB per formula unit: 0.0
Energy of formation, eV per atom: -0.54
Crystal system: orthorhombic
Raw total energy, eV per cell: -128.98

(8)
## ErGa2Ru (PBE)

Data for ErGa2Ru after structural relaxation.

```
data_ErGa2Ru
_chemical_formula_sum 'Er3 Ga6 Ru3'
_cell_length_a 4.2263
_cell_length_b 4.2263
_cell_length_c 14.5318
_cell_angle_alpha 90.00
_cell_angle_beta 90.00
_cell_angle_gamma 120.00
_symmetry_space_group_name_H-M 'R -3 m'
_symmetry_Int_Tables_number 166
_symmetry_space_group_name_Hall '-R 3 2"'
loop_
_atom_site_label
_atom_site_type_symbol
_atom_site_fract_x
_atom_site_fract_y
_atom_site_fract_z
Er1 Er 0.0000 0.0000 0.0000
Ga1 Ga 0.0000 0.0000 0.2175
Ru1 Ru 0.0000 0.0000 0.5000
```

Computed properties:
Magnetization, μB per formula unit: 0.0
Energy of formation, eV per atom: -0.49
Crystal system: trigonal
Raw total energy, eV per cell: -65.60

(9)
## Er12Ga6Ru (PBE)

Data for Er12Ga6Ru after structural relaxation.

```
data_Er12Ga6Ru
_chemical_formula_sum 'Er36 Ga18 Ru3'
_cell_length_a 12.6543
_cell_length_b 12.6543
_cell_length_c 11.8290
_cell_angle_alpha 90.00
_cell_angle_beta 90.00
_cell_angle_gamma 120.00
_symmetry_space_group_name_H-M 'R -3'
_symmetry_Int_Tables_number 148
_symmetry_space_group_name_Hall '-R 3'
loop_
_atom_site_label
_atom_site_type_symbol
_atom_site_fract_x
_atom_site_fract_y
_atom_site_fract_z
Er1 Er 0.0362 0.2111 0.3934
Er2 Er 0.0460 0.2007 0.8840
Ga1 Ga 0.0510 0.2690 0.6467
Ru1 Ru 0.0000 0.0000 0.0000
```

Computed properties:
Magnetization, μB per formula unit: 0.0
Energy of formation, eV per atom: -0.23
Crystal system: trigonal
Raw total energy, eV per cell: -259.67

(10)
## Er4GaRu (PBE)

Data for Er4GaRu after structural relaxation.

```
data_Er4GaRu
_chemical_formula_sum 'Er16 Ga4 Ru4'
_cell_length_a 8.820
_cell_length_b 13.029
_cell_length_c 6.129
_cell_angle_alpha 90.00
_cell_angle_beta 119.11
_cell_angle_gamma 90.00
_symmetry_space_group_name_H-M 'C 1 2/c 1'
_symmetry_Int_Tables_number 15
loop_
_symmetry_equiv_pos_as_xyz
'x,y,z'
'-x,-y,-z'
'-x,y,-z+1/2'
'x,-y,z+1/2'
'x+1/2,y+1/2,z'
'-x+1/2,-y+1/2,-z'
'-x+1/2,y+1/2,-z+1/2'
'x+1/2,-y+1/2,z+1/2'
loop_
_atom_site_label
_atom_site_type_symbol
_atom_site_fract_x
_atom_site_fract_y
_atom_site_fract_z
Er1 Er 0.119 0.175 0.084
Er2 Er 0.212 0.433 0.307
Ga1 Ga 0.000 0.369 0.750
Ru1 Ru 0.000 0.000 0.250
```

Computed properties:
Magnetization, μB per formula unit: 0.0
Energy of formation, eV per atom: -0.41
Crystal system: monoclinic
Raw total energy, eV per cell: -132.11